No. 1
Entry from Alexandria: an optimized crystal structure of AcLa7Tm2 (PBE).

Cell: 5.697 7.827 9.714 Å, 113.76 107.09 90.00°
Positions (direct):
La 0.369 0.069 0.737
La 0.157 0.657 0.315
La 0.843 0.343 0.685
La 0.631 0.331 0.263
La 0.500 0.500 0.000
La 0.369 0.669 0.737
La 0.631 0.931 0.263
Ac 0.000 0.000 0.000
Tm 0.214 0.214 0.427
Tm 0.786 0.786 0.573

* SG: Immm, No. 71
* DOS at the Fermi energy: 15.19 states/eV/f.u.
* formation enthalpy at 0 K: 0.15 eV per atom

No. 2
Entry from Alexandria: an optimized crystal structure of Ac4La3Tm2 (PBE).

Cell: 5.397 6.539 11.393 Å, 73.92 89.99 65.69°
Positions (direct):
Tm 0.669 0.663 0.225
Tm 0.331 0.337 0.775
Ac 0.000 0.001 0.669
Ac 0.333 0.334 0.111
Ac 0.000 0.999 0.331
Ac 0.667 0.666 0.889
La 0.000 0.000 0.000
La 0.669 0.663 0.554
La 0.331 0.337 0.446

* SG: P-1, No. 2
* DOS at the Fermi energy: 15.73 states/eV/f.u.
* formation enthalpy at 0 K: 0.05 eV per atom

No. 3
Entry from Alexandria: an optimized crystal structure of Ac4La5Tm2 (PBE).

Cell: 3.650 12.684 9.489 Å, 93.60 101.09 90.00°
Positions (direct):
La 0.500 0.000 0.000
La 0.810 0.910 0.620
La 0.190 0.090 0.380
La 0.861 0.180 0.722
La 0.139 0.820 0.278
Ac 0.282 0.635 0.563
Ac 0.959 0.732 0.918
Ac 0.041 0.268 0.082
Ac 0.718 0.365 0.437
Tm 0.908 0.460 0.816
Tm 0.092 0.540 0.184

* SG: C2/m, No. 12
* DOS at the Fermi energy: 19.24 states/eV/f.u.
* formation enthalpy at 0 K: 0.18 eV per atom

No. 4
Entry from Alexandria: an optimized crystal structure of AcLa7Tm3 (PBE).

Cell: 6.665 7.838 7.841 Å, 81.77 94.04 94.02°
Positions (direct):
La 0.261 0.575 0.937
La 0.739 0.063 0.425
La 0.000 0.500 0.500
La 0.204 0.232 0.232
La 0.796 0.768 0.768
La 0.739 0.425 0.063
La 0.261 0.937 0.575
Tm 0.500 0.000 0.000
Tm 0.000 0.833 0.167
Tm 0.000 0.167 0.833
Ac 0.500 0.500 0.500

* SG: C2/m, No. 12
* DOS at the Fermi energy: 15.77 states/eV/f.u.
* formation enthalpy at 0 K: 0.21 eV per atom

No. 5
Entry from Alexandria: an optimized crystal structure of Ac3La2Tm (PBE).

Cell: 7.193 9.568 7.193 Å, 82.21 83.65 97.79°
Positions (direct):
Tm 0.110 0.750 0.110
Tm 0.890 0.250 0.890
Ac 0.138 0.983 0.696
Ac 0.862 0.017 0.304
Ac 0.432 0.750 0.432
Ac 0.568 0.250 0.568
Ac 0.696 0.517 0.138
Ac 0.304 0.483 0.862
La 0.883 0.618 0.615
La 0.615 0.882 0.883
La 0.385 0.118 0.117
La 0.117 0.382 0.385

* SG: C2/c, No. 15
* DOS at the Fermi energy: 8.89 states/eV/f.u.
* formation enthalpy at 0 K: 0.11 eV per atom

No. 6
Entry from Alexandria: an optimized crystal structure of AcLa3Tm (PBE).

Cell: 6.163 5.609 13.460 Å, 90.00 90.00 123.33°
Positions (direct):
Ac 0.000 0.000 0.500
Ac 0.000 0.000 0.000
Tm 0.721 0.442 0.750
Tm 0.279 0.558 0.250
La 0.621 0.243 0.121
La 0.064 0.127 0.750
La 0.621 0.243 0.379
La 0.379 0.757 0.879
La 0.936 0.873 0.250
La 0.379 0.757 0.621

* SG: Cmcm, No. 63
* DOS at the Fermi energy: 6.05 states/eV/f.u.
* formation enthalpy at 0 K: 0.24 eV per atom

No. 7
Entry from Alexandria: an optimized crystal structure of Ac4LaTm2 (PBE).

Cell: 12.786 12.786 7.533 Å, 98.53 98.53 147.89°
Positions (direct):
Tm 0.101 0.936 0.572
Tm 0.375 0.663 0.071
Tm 0.936 0.101 0.072
Tm 0.663 0.375 0.571
Ac 0.942 0.095 0.572
Ac 0.244 0.804 0.327
Ac 0.516 0.520 0.073
Ac 0.520 0.516 0.573
Ac 0.095 0.942 0.072
Ac 0.804 0.244 0.827
Ac 0.793 0.234 0.315
Ac 0.234 0.793 0.815
La 0.377 0.660 0.571
La 0.660 0.377 0.071

* SG: Cc, No. 9
* DOS at the Fermi energy: 9.88 states/eV/f.u.
* formation enthalpy at 0 K: 0.09 eV per atom

No. 8
Entry from Alexandria: an optimized crystal structure of Ac4La5Tm (PBE).

Cell: 5.432 8.965 10.266 Å, 119.12 105.34 90.00°
Positions (direct):
La 0.160 0.117 0.320
La 0.500 0.500 0.000
La 0.181 0.738 0.362
La 0.819 0.262 0.638
La 0.840 0.883 0.680
Ac 0.027 0.279 0.054
Ac 0.675 0.428 0.351
Ac 0.325 0.572 0.649
Ac 0.973 0.721 0.946
Tm 0.500 0.000 0.000

* SG: C2/m, No. 12
* DOS at the Fermi energy: 15.49 states/eV/f.u.
* formation enthalpy at 0 K: 0.24 eV per atom

No. 9
Entry from Alexandria: an optimized crystal structure of Ac7La2Tm2 (PBE).

Cell: 7.421 10.075 7.421 Å, 89.95 121.28 90.05°
Positions (direct):
La 0.245 0.500 0.245
La 0.755 0.500 0.755
Ac 0.501 0.692 0.000
Ac 0.000 0.000 0.000
Ac 0.500 0.185 0.500
Ac 0.500 0.815 0.500
Ac 0.000 0.308 0.501
Ac 0.000 0.692 0.499
Ac 0.499 0.308 0.000
Tm 0.270 0.000 0.730
Tm 0.730 0.000 0.270

* SG: C2/m, No. 12
* DOS at the Fermi energy: 21.02 states/eV/f.u.
* formation enthalpy at 0 K: 0.32 eV per atom

No. 10
Entry from Alexandria: an optimized crystal structure of Ac2La3Tm3 (PBE).

Cell: 3.675 11.270 14.448 Å, 90.00 90.00 99.38°
Positions (direct):
Tm 0.387 0.774 0.750
Tm 0.004 0.008 0.373
Tm 0.996 0.992 0.873
Tm 0.613 0.226 0.250
Tm 0.996 0.992 0.627
Tm 0.004 0.008 0.127
Ac 0.239 0.478 0.378
Ac 0.239 0.478 0.122
Ac 0.761 0.522 0.878
Ac 0.761 0.522 0.622
La 0.386 0.773 0.000
La 0.614 0.227 0.000
La 0.390 0.780 0.250
La 0.614 0.227 0.500
La 0.386 0.773 0.500
La 0.610 0.220 0.750

* SG: Cmcm, No. 63
* DOS at the Fermi energy: 14.59 states/eV/f.u.
* formation enthalpy at 0 K: 0.12 eV per atom

No. 11
Entry from Alexandria: an optimized crystal structure of Ac2LaTm (PBE).

Cell: 5.308 5.401 5.401 Å, 90.00 90.00 90.00°
Positions (direct):
Tm 0.500 0.500 0.500
Ac 0.000 0.500 0.000
Ac 0.000 0.000 0.500
La 0.500 0.000 0.000

* SG: P4/mmm, No. 123
* DOS at the Fermi energy: 4.95 states/eV/f.u.
* formation enthalpy at 0 K: 0.03 eV per atom

No. 12
Entry from Alexandria: an optimized crystal structure of Ac4LaTm (PBE).

Cell: 6.216 7.478 10.670 Å, 90.00 90.00 90.00°
Positions (direct):
Ac 0.500 0.500 0.830
Ac 0.000 0.500 0.665
Ac 0.000 0.000 0.335
Ac 0.000 0.000 0.665
Ac 0.000 0.500 0.335
Ac 0.500 0.500 0.170
Ac 0.500 0.000 0.170
Ac 0.500 0.000 0.830
Tm 0.500 0.750 0.500
Tm 0.500 0.250 0.500
La 0.000 0.750 0.000
La 0.000 0.250 0.000

* SG: Pmmm, No. 47
* DOS at the Fermi energy: 11.29 states/eV/f.u.
* formation enthalpy at 0 K: 0.14 eV per atom

No. 13
Entry from Alexandria: an optimized crystal structure of Ac7La3Tm (PBE).

Cell: 6.949 8.356 8.356 Å, 84.45 86.25 86.25°
Positions (direct):
Ac 0.260 0.426 0.087
Ac 0.740 0.574 0.913
Ac 0.740 0.913 0.574
Ac 0.228 0.761 0.761
Ac 0.772 0.239 0.239
Ac 0.260 0.087 0.426
Ac 0.000 0.500 0.500
Tm 0.500 0.500 0.500
La 0.000 0.836 0.164
La 0.500 0.000 0.000
La 0.000 0.164 0.836

* SG: C2/m, No. 12
* DOS at the Fermi energy: 18.61 states/eV/f.u.
* formation enthalpy at 0 K: 0.26 eV per atom

No. 14
Entry from Alexandria: an optimized crystal structure of Ac8LaTm2 (PBE).

Cell: 5.904 9.286 10.110 Å, 117.36 106.98 90.00°
Positions (direct):
Tm 0.201 0.701 0.402
Tm 0.799 0.299 0.598
Ac 0.647 0.854 0.295
Ac 0.000 0.699 0.000
Ac 0.843 0.843 0.685
Ac 0.353 0.146 0.705
Ac 0.000 0.301 0.000
Ac 0.353 0.559 0.705
Ac 0.157 0.157 0.315
Ac 0.647 0.441 0.295
La 0.500 0.000 0.000

* SG: Immm, No. 71
* DOS at the Fermi energy: 19.13 states/eV/f.u.
* formation enthalpy at 0 K: 0.12 eV per atom

No. 15
Entry from Alexandria: an optimized crystal structure of Ac8La2Tm (PBE).

Cell: 5.561 8.724 11.685 Å, 121.48 103.77 90.00°
Positions (direct):
Ac 0.864 0.910 0.727
Ac 0.592 0.735 0.184
Ac 0.319 0.550 0.638
Ac 0.681 0.450 0.362
Ac 0.408 0.265 0.816
Ac 0.136 0.090 0.273
Ac 0.046 0.362 0.092
Ac 0.954 0.638 0.908
Tm 0.500 0.000 0.000
La 0.774 0.181 0.548
La 0.226 0.819 0.452

* SG: C2/m, No. 12
* DOS at the Fermi energy: 19.74 states/eV/f.u.
* formation enthalpy at 0 K: 0.03 eV per atom

No. 16
Entry from Alexandria: an optimized crystal structure of AcLa2Tm (PBE).

Cell: 3.762 3.762 12.373 Å, 81.26 81.26 60.00°
Positions (direct):
La 0.255 0.255 0.236
La 0.079 0.079 0.763
Tm 0.667 0.667 0.999
Ac 0.499 0.499 0.502

* SG: R3m, No. 160
* DOS at the Fermi energy: 6.61 states/eV/f.u.
* formation enthalpy at 0 K: 0.05 eV per atom

No. 17
Entry from Alexandria: an optimized crystal structure of Ac4La3Tm (PBE).

Cell: 3.734 12.352 9.553 Å, 130.27 101.25 90.01°
Positions (direct):
Ac 0.631 0.380 0.263
Ac 0.369 0.620 0.737
Ac 0.368 0.117 0.737
Ac 0.632 0.883 0.263
La 0.767 0.767 0.535
La 0.233 0.233 0.465
La 0.000 0.500 0.000
Tm 0.500 0.000 0.000

* SG: Immm, No. 71
* DOS at the Fermi energy: 12.27 states/eV/f.u.
* formation enthalpy at 0 K: 0.13 eV per atom

No. 18
Entry from Alexandria: an optimized crystal structure of AcLaTm2 (PBE).

Cell: 5.859 5.859 5.859 Å, 60.00 60.00 60.00°
Positions (direct):
La 0.500 0.500 0.500
Tm 0.750 0.750 0.750
Tm 0.250 0.250 0.250
Ac 0.000 0.000 0.000

* SG: Fm-3m, No. 225
* DOS at the Fermi energy: 6.28 states/eV/f.u.
* formation enthalpy at 0 K: 0.08 eV per atom

No. 19
Entry from Alexandria: an optimized crystal structure of AcLaTm2 (PBE).

Cell: 3.717 3.717 11.886 Å, 81.00 81.00 60.00°
Positions (direct):
Tm 0.749 0.749 0.754
Tm 0.251 0.251 0.246
Ac 0.500 0.500 0.500
La 0.000 0.000 0.000

* SG: R-3m, No. 166
* DOS at the Fermi energy: 4.67 states/eV/f.u.
* formation enthalpy at 0 K: 0.05 eV per atom

No. 20
Entry from Alexandria: an optimized crystal structure of Ac5LaTm (PBE).

Cell: 6.188 8.665 8.665 Å, 68.35 69.10 69.10°
Positions (direct):
Ac 0.249 0.751 0.751
Ac 0.000 0.315 0.685
Ac 0.000 0.685 0.315
Ac 0.500 0.000 0.000
Ac 0.751 0.249 0.249
Tm 0.000 0.000 0.000
La 0.500 0.500 0.500

* SG: Immm, No. 71
* DOS at the Fermi energy: 11.73 states/eV/f.u.
* formation enthalpy at 0 K: 0.85 eV per atom